Below is a relaxed LiSmO3 crystal, with properties calculated at the GGA-PBE level.

Unit cell a=5.8226 b=7.3989 c=5.0511 alpha=90.00 beta=90.00 gamma=90.00
With the nearest neighbours (Å) after each atom.
Positions (direct):
Li: 0.0000 0.0000 0.0000  6 O 1.89-2.08
Li: 0.0000 0.5000 0.0000  6 O 1.89-2.08
Li: 0.5000 0.0000 0.5000  6 O 1.89-2.08
Li: 0.5000 0.5000 0.5000  6 O 1.89-2.08
Sm: 0.1012 0.2500 0.4633  8 O 2.38-2.49
Sm: 0.3988 0.7500 0.9633  8 O 2.38-2.49
Sm: 0.6012 0.2500 0.0367  8 O 2.38-2.49
Sm: 0.8988 0.7500 0.5367  8 O 2.38-2.49
O: 0.0162 0.2500 0.9245  2 Li 1.89
O: 0.2022 0.5464 0.6669  2 Li 1.96-2.08
O: 0.2022 0.9536 0.6669  2 Li 1.96-2.08
O: 0.2978 0.0464 0.1669  2 Li 1.96-2.08
O: 0.2978 0.4536 0.1669  2 Li 1.96-2.08
O: 0.4838 0.7500 0.4245  2 Li 1.89
O: 0.5162 0.2500 0.5755  2 Li 1.89
O: 0.7022 0.5464 0.8331  2 Li 1.96-2.08
O: 0.7022 0.9536 0.8331  2 Li 1.96-2.08
O: 0.7978 0.0464 0.3331  2 Li 1.96-2.08
O: 0.7978 0.4536 0.3331  2 Li 1.96-2.08
O: 0.9838 0.7500 0.0755  2 Li 1.89

Magnetization   2.000 μB per formula unit
E   -6.276 eV per atom
Mass density   6.3 g cm⁻³